# YPuAl PBE optimized geometry
data_YPuAl
_cell_length_a 5.1272
_cell_length_b 5.1272
_cell_length_c 3.2775
_cell_angle_alpha 90.00
_cell_angle_beta 90.00
_cell_angle_gamma 120.00
_symmetry_space_group_name_H-M 'P 3 m 1'
_symmetry_Int_Tables_number 156
loop_
_symmetry_equiv_pos_as_xyz
'x,y,z'
'-y,x-y,z'
'-x+y,-x,z'
'-y,-x,z'
'-x+y,y,z'
'x,x-y,z'
loop_
_atom_site_label
_atom_site_type_symbol
_atom_site_fract_x
_atom_site_fract_y
_atom_site_fract_z
Y1 Y 0.0000 0.0000 0.0000
Pu1 Pu 0.3333 0.6667 0.3979
Al1 Al 0.6667 0.3333 0.6986
# Energy above the lowest structure with this stoichiometry: 0.050 eV/atom
# E: -8.22 eV/atom
# E_form: -0.036 eV/atom
# Density of states at the Fermi level: 6.00 states/eV per cell


# YPuAl PBE optimized geometry
data_YPuAl
_cell_length_a 3.322
_cell_length_b 3.322
_cell_length_c 13.735
_cell_angle_alpha 90.00
_cell_angle_beta 90.00
_cell_angle_gamma 90.00
_symmetry_space_group_name_H-M 'I 4 m m'
_symmetry_Int_Tables_number 107
_symmetry_space_group_name_Hall 'I 4 -2'
loop_
_atom_site_label
_atom_site_type_symbol
_atom_site_fract_x
_atom_site_fract_y
_atom_site_fract_z
Y1 Y 0.000 0.000 0.000
Pu1 Pu 0.000 0.000 0.699
Al1 Al 0.000 0.000 0.349
# Energy above the lowest structure with this stoichiometry: 0.000 eV/atom
# E: -8.27 eV/atom
# E_form: -0.086 eV/atom
# Density of states at the Fermi level: 15.89 states/eV per cell


# Y2PuAl PBE optimized geometry
data_Y2PuAl
_cell_length_a 4.811
_cell_length_b 4.811
_cell_length_c 4.570
_cell_angle_alpha 90.00
_cell_angle_beta 90.00
_cell_angle_gamma 90.00
_symmetry_space_group_name_H-M 'P 4/m m m'
_symmetry_Int_Tables_number 123
_symmetry_space_group_name_Hall '-P 4 2'
loop_
_atom_site_label
_atom_site_type_symbol
_atom_site_fract_x
_atom_site_fract_y
_atom_site_fract_z
Y1 Y 0.000 0.500 0.000
Pu1 Pu 0.000 0.000 0.500
Al1 Al 0.500 0.500 0.500
# Energy above the lowest structure with this stoichiometry: 0.044 eV/atom
# E: -7.82 eV/atom
# E_form: -0.069 eV/atom
# Density of states at the Fermi level: 10.30 states/eV per cell


# YPuAl2 PBE optimized geometry
data_YPuAl2
_cell_length_a 5.130
_cell_length_b 5.130
_cell_length_c 3.543
_cell_angle_alpha 90.00
_cell_angle_beta 90.00
_cell_angle_gamma 90.00
_symmetry_space_group_name_H-M 'P 4/m m m'
_symmetry_Int_Tables_number 123
_symmetry_space_group_name_Hall '-P 4 2'
loop_
_atom_site_label
_atom_site_type_symbol
_atom_site_fract_x
_atom_site_fract_y
_atom_site_fract_z
Y1 Y 0.000 0.000 0.000
Pu1 Pu 0.500 0.500 0.000
Al1 Al 0.000 0.500 0.500
# Energy above the lowest structure with this stoichiometry: 0.025 eV/atom
# E: -7.30 eV/atom
# E_form: -0.229 eV/atom
# Density of states at the Fermi level: 7.60 states/eV per cell


# Y3PuAl8 PBE optimized geometry
data_Y3PuAl8
_cell_length_a 5.5595
_cell_length_b 5.5595
_cell_length_c 27.3286
_cell_angle_alpha 90.00
_cell_angle_beta 90.00
_cell_angle_gamma 120.00
_symmetry_space_group_name_H-M 'R 3 m'
_symmetry_Int_Tables_number 160
_symmetry_space_group_name_Hall 'R 3 -2"'
loop_
_atom_site_label
_atom_site_type_symbol
_atom_site_fract_x
_atom_site_fract_y
_atom_site_fract_z
Y1 Y 0.0000 0.0000 0.0000
Y2 Y 0.0000 0.0000 0.1264
Y3 Y 0.0000 0.0000 0.6227
Pu1 Pu 0.0000 0.0000 0.4997
Al1 Al 0.0000 0.0000 0.3124
Al2 Al 0.0000 0.0000 0.8125
Al3 Al 0.0008 0.5004 0.0620
Al4 Al 0.0008 0.5004 0.5626
# Energy above the lowest structure with this stoichiometry: 0.000 eV/atom
# E: -5.77 eV/atom
# E_form: -0.464 eV/atom
# Density of states at the Fermi level: 58.84 states/eV per cell


# YPuAlZn PBE optimized geometry
data_YPuAlZn
_cell_length_a 7.207
_cell_length_b 7.207
_cell_length_c 7.207
_cell_angle_alpha 90.00
_cell_angle_beta 90.00
_cell_angle_gamma 90.00
_symmetry_space_group_name_H-M 'F -4 3 m'
_symmetry_Int_Tables_number 216
_symmetry_space_group_name_Hall 'F -4 2 3'
loop_
_atom_site_label
_atom_site_type_symbol
_atom_site_fract_x
_atom_site_fract_y
_atom_site_fract_z
Y1 Y 0.000 0.000 0.000
Pu1 Pu 0.000 0.000 0.500
Al1 Al 0.250 0.250 0.250
Zn1 Zn 0.250 0.250 0.750
# E: -6.65 eV/atom
# E_form: -0.199 eV/atom
# Density of states at the Fermi level: 28.74 states/eV per cell


# PuAl2Zn10 PBE optimized geometry
data_PuAl2Zn10
_cell_length_a 5.341
_cell_length_b 12.505
_cell_length_c 12.654
_cell_angle_alpha 90.00
_cell_angle_beta 90.00
_cell_angle_gamma 90.00
_symmetry_space_group_name_H-M 'F m m m'
_symmetry_Int_Tables_number 69
_symmetry_space_group_name_Hall '-F 2 2'
loop_
_atom_site_label
_atom_site_type_symbol
_atom_site_fract_x
_atom_site_fract_y
_atom_site_fract_z
Pu1 Pu 0.000 0.000 0.000
Al1 Al 0.250 0.250 0.000
Zn1 Zn 0.000 0.107 0.390
Zn2 Zn 0.000 0.177 0.177
Zn3 Zn 0.250 0.000 0.250
# E: -2.76 eV/atom
# E_form: -0.106 eV/atom
# Density of states at the Fermi level: 47.72 states/eV per cell


# Pu2AlZn PBE optimized geometry
data_Pu2AlZn
_cell_length_a 2.6635
_cell_length_b 2.6635
_cell_length_c 34.9617
_cell_angle_alpha 90.00
_cell_angle_beta 90.00
_cell_angle_gamma 120.00
_symmetry_space_group_name_H-M 'R -3 m'
_symmetry_Int_Tables_number 166
_symmetry_space_group_name_Hall '-R 3 2"'
loop_
_atom_site_label
_atom_site_type_symbol
_atom_site_fract_x
_atom_site_fract_y
_atom_site_fract_z
Pu1 Pu 0.0000 0.0000 0.0897
Al1 Al 0.0000 0.0000 0.5000
Zn1 Zn 0.0000 0.0000 0.0000
# E: -8.11 eV/atom
# E_form: 0.313 eV/atom
# Density of states at the Fermi level: 18.24 states/eV per cell


Look up the E_form of the seventh one.
-0.106 eV/atom